This record from Alexandria via LeMat-Bulk describes crystalline Li2Ca2Ni at its relaxed geometry. The functional is PBE-GGA.

Unit cell a=7.331 b=7.331 c=5.315 alpha=90.00 beta=90.00 gamma=90.00
Element x y z (fractional)
Li: 0.152 0.348 0.000
Li: 0.348 0.848 0.000
Li: 0.652 0.152 0.000
Li: 0.848 0.652 0.000
Ca: 0.172 0.672 0.500
Ca: 0.328 0.172 0.500
Ca: 0.672 0.828 0.500
Ca: 0.828 0.328 0.500
Ni: 0.000 0.000 0.500
Ni: 0.500 0.500 0.500

Calculated values
Crystal system = tetragonal
ΔH_f (0 K) = 0.281 eV per atom
Energy above the lowest structure with this stoichiometry = 0.201 eV per atom
Symmetry = P4/mbm
Mass density = 1.8 Mg/m³

This record from Alexandria via LeMat-Bulk describes crystalline LiCaNi at its relaxed geometry. The functional is PBE-GGA.

Unit cell a=4.288 b=4.288 c=3.783 alpha=90.00 beta=90.00 gamma=120.00
Element x y z (fractional)
Li: 0.000 0.000 0.000
Ca: 0.333 0.667 0.500
Ni: 0.667 0.333 0.000

Calculated values
Crystal system = hexagonal
ΔH_f (0 K) = 0.081 eV per atom
Energy above the lowest structure with this stoichiometry = 0.145 eV per atom
Symmetry = P-6m2
Mass density = 2.9 Mg/m³

This record from Alexandria via LeMat-Bulk describes crystalline LiCaNi3 at its relaxed geometry. The functional is PBE-GGA.

Unit cell a=4.200 b=4.200 c=4.200 alpha=90.00 beta=90.00 gamma=90.00
Element x y z (fractional)
Li: 0.000 0.000 0.000
Ca: 0.500 0.500 0.500
Ni: 0.000 0.000 0.500
Ni: 0.000 0.500 0.000
Ni: 0.500 0.000 0.000

Calculated values
Crystal system = cubic
ΔH_f (0 K) = 0.386 eV per atom
Energy above the lowest structure with this stoichiometry = 0.000 eV per atom
Symmetry = Pm-3m
Mass density = 5.0 Mg/m³

This record from Alexandria via LeMat-Bulk describes crystalline Li8CaNi4 at its relaxed geometry. The functional is PBE-GGA.

Unit cell a=6.751 b=6.751 c=6.751 alpha=97.66 beta=97.66 gamma=137.18
Element x y z (fractional)
Li: 0.000 0.229 0.229
Li: 0.000 0.771 0.771
Li: 0.156 0.500 0.656
Li: 0.229 0.000 0.229
Li: 0.500 0.156 0.656
Li: 0.500 0.844 0.344
Li: 0.771 0.000 0.771
Li: 0.844 0.500 0.344
Ca: 0.500 0.500 0.000
Ni: 0.000 0.000 0.500
Ni: 0.000 0.500 0.000
Ni: 0.500 0.000 0.000
Ni: 0.500 0.500 0.500

Calculated values
Crystal system = tetragonal
ΔH_f (0 K) = 0.001 eV per atom
Symmetry = I4/mmm
Mass density = 2.8 Mg/m³

This record from Alexandria via LeMat-Bulk describes crystalline LiCaNi at its relaxed geometry. The functional is PBE-GGA.

Unit cell a=6.551 b=6.551 c=6.551 alpha=90.00 beta=90.00 gamma=90.00
Element x y z (fractional)
Li: 0.000 0.000 0.000
Li: 0.000 0.500 0.500
Li: 0.500 0.000 0.500
Li: 0.500 0.500 0.000
Ca: 0.250 0.250 0.750
Ca: 0.250 0.750 0.250
Ca: 0.750 0.250 0.250
Ca: 0.750 0.750 0.750
Ni: 0.000 0.000 0.500
Ni: 0.000 0.500 0.000
Ni: 0.500 0.000 0.000
Ni: 0.500 0.500 0.500

Calculated values
Crystal system = cubic
ΔH_f (0 K) = 0.550 eV per atom
Energy above the lowest structure with this stoichiometry = 0.614 eV per atom
Symmetry = F-43m
Mass density = 2.5 Mg/m³

This record from Alexandria via LeMat-Bulk describes crystalline LiCaNi at its relaxed geometry. The functional is PBE-GGA.

Unit cell a=4.039 b=16.766 c=3.985 alpha=90.00 beta=90.00 gamma=90.00
Element x y z (fractional)
Li: 0.000 0.199 0.250
Li: 0.000 0.801 0.750
Li: 0.500 0.301 0.750
Li: 0.500 0.699 0.250
Ca: 0.000 0.409 0.250
Ca: 0.000 0.591 0.750
Ca: 0.500 0.091 0.750
Ca: 0.500 0.909 0.250
Ni: 0.000 0.035 0.250
Ni: 0.000 0.965 0.750
Ni: 0.500 0.465 0.750
Ni: 0.500 0.535 0.250

Calculated values
Crystal system = orthorhombic
ΔH_f (0 K) = -0.064 eV per atom
Energy above the lowest structure with this stoichiometry = 0.000 eV per atom
Symmetry = Cmcm
Mass density = 2.6 Mg/m³

The highest ΔH_f (0 K) belongs to which entry? number 5

Which of these has the lowest ΔH_f (0 K)? number 6